A geometry-optimized HfNbTc2 structure, computed with GGA-PBE.

Summary:
VASP energy = -42.5 eV/cell
Spin magnetization = 0.00 μB per formula unit
Calculated volume = 67 Å³ per cell
Formation enthalpy at 0 K = -0.44 eV per atom

The structure in CIF format:
```
data_HfNbTc2
_chemical_formula_sum 'Hf1 Nb1 Tc2'
_space_group_name_H-M_alt 'P 1'
_space_group_IT_number 1
_cell_length_a 4.559
_cell_length_b 4.559
_cell_length_c 4.559
_cell_angle_alpha 60.00
_cell_angle_beta 60.00
_cell_angle_gamma 60.00
loop_
_space_group_symop_operation_xyz
'x,y,z'
loop_
_atom_site_label
_atom_site_type_symbol
_atom_site_fract_x
_atom_site_fract_y
_atom_site_fract_z
_atom_site_occupancy
Hf1 Hf 0.000 0.000 0.000 1
Nb1 Nb 0.500 0.500 0.500 1
Tc1 Tc 0.250 0.250 0.250 1
Tc2 Tc 0.750 0.750 0.750 1
```

A geometry-optimized Mg4AgIr structure, computed with GGA-PBE.

Summary:
VASP energy = -16.7 eV/cell
Spin magnetization = 0.00 μB per formula unit
Calculated volume = 111 Å³ per cell
Formation enthalpy at 0 K = 0.24 eV per atom

The structure in CIF format:
```
data_Mg4AgIr
_chemical_formula_sum 'Mg4 Ag1 Ir1'
_space_group_name_H-M_alt 'P 1'
_space_group_IT_number 1
_cell_length_a 5.390
_cell_length_b 5.390
_cell_length_c 5.390
_cell_angle_alpha 60.00
_cell_angle_beta 60.00
_cell_angle_gamma 60.00
loop_
_space_group_symop_operation_xyz
'x,y,z'
loop_
_atom_site_label
_atom_site_type_symbol
_atom_site_fract_x
_atom_site_fract_y
_atom_site_fract_z
_atom_site_occupancy
Mg1 Mg 0.125 0.125 0.125 1
Mg2 Mg 0.125 0.125 0.624 1
Mg3 Mg 0.125 0.624 0.125 1
Mg4 Mg 0.624 0.125 0.125 1
Ag1 Ag 0.750 0.750 0.750 1
Ir1 Ir 0.500 0.500 0.500 1
```

A geometry-optimized BaCdSe2 structure, computed with GGA-PBE.

Summary:
VASP energy = -14.6 eV/cell
E_form (uncorrected) = -1203.7 meV per atom
Spin magnetization = 0.00 μB per formula unit
Calculated volume = 143 Å³ per cell

The structure in CIF format:
```
data_BaCdSe2
_chemical_formula_sum 'Ba1 Cd1 Se2'
_space_group_name_H-M_alt 'P 1'
_space_group_IT_number 1
_cell_length_a 7.443
_cell_length_b 7.443
_cell_length_c 4.699
_cell_angle_alpha 95.35
_cell_angle_beta 95.35
_cell_angle_gamma 33.38
loop_
_space_group_symop_operation_xyz
'x,y,z'
loop_
_atom_site_label
_atom_site_type_symbol
_atom_site_fract_x
_atom_site_fract_y
_atom_site_fract_z
_atom_site_occupancy
Ba1 Ba 0.000 0.000 0.000 1
Cd1 Cd 0.267 0.267 0.262 1
Se1 Se 0.439 0.439 0.483 1
Se2 Se 0.684 0.684 0.021 1
```

A geometry-optimized Pr2MgP2N6 structure, computed with GGA-PBE.

Summary:
VASP energy = -79.1 eV/cell
E_form (uncorrected) = -647.7 meV per atom
Spin magnetization = 0.00 μB per formula unit
Calculated volume = 168 Å³ per cell

The structure in CIF format:
```
data_Pr2MgP2N6
_chemical_formula_sum 'Pr2 Mg1 P2 N6'
_space_group_name_H-M_alt 'P 1'
_space_group_IT_number 1
_cell_length_a 5.662
_cell_length_b 5.662
_cell_length_c 6.036
_cell_angle_alpha 90.00
_cell_angle_beta 90.00
_cell_angle_gamma 120.00
loop_
_space_group_symop_operation_xyz
'x,y,z'
loop_
_atom_site_label
_atom_site_type_symbol
_atom_site_fract_x
_atom_site_fract_y
_atom_site_fract_z
_atom_site_occupancy
Pr1 Pr 0.333 0.667 0.296 1
Pr2 Pr 0.667 0.333 0.704 1
Mg1 Mg 0.000 0.000 0.000 1
P1 P 0.333 0.667 0.789 1
P2 P 0.667 0.333 0.211 1
N1 N 0.096 0.358 0.779 1
N2 N 0.261 0.904 0.779 1
N3 N 0.358 0.261 0.221 1
N4 N 0.642 0.739 0.779 1
N5 N 0.739 0.096 0.221 1
N6 N 0.904 0.642 0.221 1
```

A geometry-optimized GdTmPb structure, computed with GGA-PBE.

Summary:
VASP energy = -23.2 eV/cell
Spin magnetization = 8.71 μB per formula unit
Calculated volume = 87 Å³ per cell
Formation enthalpy at 0 K = -0.30 eV per atom

The structure in CIF format:
```
data_GdTmPb
_chemical_formula_sum 'Gd1 Tm1 Pb1'
_space_group_name_H-M_alt 'P 1'
_space_group_IT_number 1
_cell_length_a 6.115
_cell_length_b 6.115
_cell_length_c 6.115
_cell_angle_alpha 141.73
_cell_angle_beta 141.73
_cell_angle_gamma 55.23
loop_
_space_group_symop_operation_xyz
'x,y,z'
loop_
_atom_site_label
_atom_site_type_symbol
_atom_site_fract_x
_atom_site_fract_y
_atom_site_fract_z
_atom_site_occupancy
Gd1 Gd 0.000 0.000 0.000 1
Tm1 Tm 0.315 0.315 0.000 1
Pb1 Pb 0.664 0.664 0.000 1
```

A geometry-optimized AlIBr2 structure, computed with GGA-PBE.

Summary:
VASP energy = -19.9 eV/cell
E_form (uncorrected) = -322.5 meV per atom
Spin magnetization = 0.00 μB per formula unit
Calculated volume = 278 Å³ per cell

The structure in CIF format:
```
data_AlIBr2
_chemical_formula_sum 'Al2 I2 Br4'
_space_group_name_H-M_alt 'P 1'
_space_group_IT_number 1
_cell_length_a 7.178
_cell_length_b 7.178
_cell_length_c 7.178
_cell_angle_alpha 115.00
_cell_angle_beta 115.00
_cell_angle_gamma 98.90
loop_
_space_group_symop_operation_xyz
'x,y,z'
loop_
_atom_site_label
_atom_site_type_symbol
_atom_site_fract_x
_atom_site_fract_y
_atom_site_fract_z
_atom_site_occupancy
Al1 Al 0.000 0.000 0.000 1
Al2 Al 0.750 0.250 0.500 1
I1 I 0.250 0.750 0.500 1
I2 I 0.500 0.500 0.000 1
Br1 Br 0.002 0.125 0.377 1
Br2 Br 0.375 0.998 0.123 1
Br3 Br 0.748 0.625 0.623 1
Br4 Br 0.875 0.252 0.877 1
```

A geometry-optimized Sc2MoP structure, computed with GGA-PBE.

Summary:
VASP energy = -30.9 eV/cell
Spin magnetization = 0.00 μB per formula unit
Calculated volume = 69 Å³ per cell
Formation enthalpy at 0 K = -0.50 eV per atom

The structure in CIF format:
```
data_Sc2MoP
_chemical_formula_sum 'Sc2 Mo1 P1'
_space_group_name_H-M_alt 'P 1'
_space_group_IT_number 1
_cell_length_a 3.443
_cell_length_b 3.443
_cell_length_c 5.822
_cell_angle_alpha 90.00
_cell_angle_beta 90.00
_cell_angle_gamma 90.00
loop_
_space_group_symop_operation_xyz
'x,y,z'
loop_
_atom_site_label
_atom_site_type_symbol
_atom_site_fract_x
_atom_site_fract_y
_atom_site_fract_z
_atom_site_occupancy
Sc1 Sc 0.000 0.000 0.240 1
Sc2 Sc 0.000 0.000 0.760 1
Mo1 Mo 0.500 0.500 0.500 1
P1 P 0.500 0.500 0.000 1
```

A geometry-optimized Zr4TlHg structure, computed with GGA-PBE.

Summary:
VASP energy = -37.5 eV/cell
Spin magnetization = 0.00 μB per formula unit
Calculated volume = 136 Å³ per cell
Formation enthalpy at 0 K = -0.10 eV per atom

The structure in CIF format:
```
data_Zr4TlHg
_chemical_formula_sum 'Zr4 Tl1 Hg1'
_space_group_name_H-M_alt 'P 1'
_space_group_IT_number 1
_cell_length_a 5.754
_cell_length_b 5.754
_cell_length_c 6.747
_cell_angle_alpha 107.03
_cell_angle_beta 107.03
_cell_angle_gamma 39.92
loop_
_space_group_symop_operation_xyz
'x,y,z'
loop_
_atom_site_label
_atom_site_type_symbol
_atom_site_fract_x
_atom_site_fract_y
_atom_site_fract_z
_atom_site_occupancy
Zr1 Zr 0.163 0.163 0.336 1
Zr2 Zr 0.166 0.166 0.828 1
Zr3 Zr 0.834 0.834 0.172 1
Zr4 Zr 0.837 0.837 0.664 1
Tl1 Tl 0.500 0.500 0.000 1
Hg1 Hg 0.500 0.500 0.500 1
```

A geometry-optimized CsHg2AuI structure, computed with GGA-PBE.

Summary:
VASP energy = -8.7 eV/cell
E_form (uncorrected) = -491.2 meV per atom
Spin magnetization = 0.00 μB per formula unit
Calculated volume = 213 Å³ per cell

The structure in CIF format:
```
data_CsHg2AuI
_chemical_formula_sum 'Cs1 Hg2 Au1 I1'
_space_group_name_H-M_alt 'P 1'
_space_group_IT_number 1
_cell_length_a 5.463
_cell_length_b 5.463
_cell_length_c 7.147
_cell_angle_alpha 90.00
_cell_angle_beta 90.00
_cell_angle_gamma 90.00
loop_
_space_group_symop_operation_xyz
'x,y,z'
loop_
_atom_site_label
_atom_site_type_symbol
_atom_site_fract_x
_atom_site_fract_y
_atom_site_fract_z
_atom_site_occupancy
Cs1 Cs 0.000 0.000 0.000 1
Hg1 Hg 0.000 0.500 0.500 1
Hg2 Hg 0.500 0.000 0.500 1
Au1 Au 0.000 0.000 0.500 1
I1 I 0.500 0.500 0.000 1
```

A geometry-optimized LaFeCl structure, computed with GGA-PBE.

Summary:
VASP energy = -15.7 eV/cell
E_form (uncorrected) = -170.1 meV per atom
Spin magnetization = 2.02 μB per formula unit
Calculated volume = 87 Å³ per cell

The structure in CIF format:
```
data_LaFeCl
_chemical_formula_sum 'La1 Fe1 Cl1'
_space_group_name_H-M_alt 'P 1'
_space_group_IT_number 1
_cell_length_a 3.877
_cell_length_b 3.877
_cell_length_c 6.653
_cell_angle_alpha 90.00
_cell_angle_beta 90.00
_cell_angle_gamma 120.00
loop_
_space_group_symop_operation_xyz
'x,y,z'
loop_
_atom_site_label
_atom_site_type_symbol
_atom_site_fract_x
_atom_site_fract_y
_atom_site_fract_z
_atom_site_occupancy
La1 La 0.000 0.000 0.000 1
Fe1 Fe 0.333 0.667 0.696 1
Cl1 Cl 0.667 0.333 0.292 1
```

A geometry-optimized ReP2Pt structure, computed with GGA-PBE.

Summary:
VASP energy = -27.9 eV/cell
Spin magnetization = 0.02 μB per formula unit
Calculated volume = 57 Å³ per cell
Formation enthalpy at 0 K = 0.35 eV per atom

The structure in CIF format:
```
data_ReP2Pt
_chemical_formula_sum 'Re1 P2 Pt1'
_space_group_name_H-M_alt 'P 1'
_space_group_IT_number 1
_cell_length_a 5.137
_cell_length_b 5.137
_cell_length_c 5.137
_cell_angle_alpha 139.13
_cell_angle_beta 139.13
_cell_angle_gamma 59.18
loop_
_space_group_symop_operation_xyz
'x,y,z'
loop_
_atom_site_label
_atom_site_type_symbol
_atom_site_fract_x
_atom_site_fract_y
_atom_site_fract_z
_atom_site_occupancy
Re1 Re 0.000 0.000 0.000 1
P1 P 0.250 0.750 0.500 1
P2 P 0.500 0.500 0.000 1
Pt1 Pt 0.750 0.250 0.500 1
```

A geometry-optimized Cu2Ge2S3 structure, computed with GGA-PBE.

Summary:
VASP energy = -30.2 eV/cell
E_form (uncorrected) = -54.4 meV per atom
Spin magnetization = 0.00 μB per formula unit
Calculated volume = 120 Å³ per cell

The structure in CIF format:
```
data_Cu2Ge2S3
_chemical_formula_sum 'Cu2 Ge2 S3'
_space_group_name_H-M_alt 'P 1'
_space_group_IT_number 1
_cell_length_a 8.047
_cell_length_b 8.047
_cell_length_c 4.580
_cell_angle_alpha 105.00
_cell_angle_beta 105.00
_cell_angle_gamma 24.75
loop_
_space_group_symop_operation_xyz
'x,y,z'
loop_
_atom_site_label
_atom_site_type_symbol
_atom_site_fract_x
_atom_site_fract_y
_atom_site_fract_z
_atom_site_occupancy
Cu1 Cu 0.067 0.067 0.259 1
Cu2 Cu 0.933 0.933 0.741 1
Ge1 Ge 0.362 0.362 0.045 1
Ge2 Ge 0.638 0.638 0.955 1
S1 S 0.195 0.195 0.685 1
S2 S 0.500 0.500 0.500 1
S3 S 0.805 0.805 0.315 1
```